# LaCu2Ag2 (PBE, relaxed)
# **Mass density**: 7.864 Mg/m³
# **Distance to the lowest polymorph of the same formula**: 0.08 eV/f.u.
# **Energy of formation**: -0.61 eV/f.u.
# **Spin magnetization**: 0.0 μB/f.u.
data_LaCu2Ag2
_chemical_formula_sum 'La1 Cu2 Ag2'
_space_group_name_H-M_alt 'P 1'
_space_group_IT_number 1
_space_group_name_Hall 'P 1'
_cell_length_a 5.508
_cell_length_b 5.508
_cell_length_c 5.049
_cell_angle_alpha 109.75
_cell_angle_beta 109.75
_cell_angle_gamma 45.53
loop_
_atom_site_label
_atom_site_fract_x
_atom_site_fract_y
_atom_site_fract_z
_atom_site_occupancy
La1 0.000 0.000 0.000 1
Cu1 0.269 0.269 0.879 1
Cu2 0.731 0.731 0.121 1
Ag1 0.352 0.352 0.442 1
Ag2 0.648 0.648 0.558 1